#w
This record from the Alexandria database describes NdBCl after structural relaxation. The functional is PBE.

Values from the calculation:
size of the total moment	0.000	μB/cell

Cell and atoms, written as CIF:
```
data_NdBCl
_space_group_name_H-M_alt 'P 1'
_space_group_IT_number 1
_cell_length_a 3.588
_cell_length_b 3.588
_cell_length_c 11.677
_cell_angle_alpha 88.93
_cell_angle_beta 88.93
_cell_angle_gamma 60.00
loop_
_space_group_symop_operation_xyz
'x,y,z'
loop_
_atom_site_label
_atom_site_fract_x
_atom_site_fract_y
_atom_site_fract_z
_atom_site_occupancy
B1 0.333 0.333 0.498 1
Nd1 0.993 0.993 0.665 1
B2 0.667 0.667 0.502 1
Cl1 0.680 0.680 0.170 1
Cl2 0.320 0.320 0.830 1
Nd2 0.007 0.007 0.335 1
```

=====

#x
This record from the Alexandria database describes NdBCl after structural relaxation. The functional is PBE.

Values from the calculation:
size of the total moment	0.000	μB/cell

Cell and atoms, written as CIF:
```
data_NdBCl
_space_group_name_H-M_alt 'P 1'
_space_group_IT_number 1
_cell_length_a 3.271
_cell_length_b 4.634
_cell_length_c 9.592
_cell_angle_alpha 103.98
_cell_angle_beta 99.82
_cell_angle_gamma 90.00
loop_
_space_group_symop_operation_xyz
'x,y,z'
loop_
_atom_site_label
_atom_site_fract_x
_atom_site_fract_y
_atom_site_fract_z
_atom_site_occupancy
B1 0.245 0.500 0.000 1
Cl1 0.680 0.180 0.361 1
Nd1 0.865 0.365 0.729 1
Nd2 0.135 0.635 0.271 1
B2 0.755 0.500 0.000 1
Cl2 0.320 0.820 0.639 1
```

=====

Tell me which of them is the least stable. Sure, it is #x.

=====

#w
This record from the Alexandria database describes NiBCl3 after structural relaxation. The functional is PBE.

Values from the calculation:
size of the total moment	0.000	μB/cell

Cell and atoms, written as CIF:
```
data_NiBCl3
_space_group_name_H-M_alt 'P 1'
_space_group_IT_number 1
_cell_length_a 4.617
_cell_length_b 4.617
_cell_length_c 4.617
_cell_angle_alpha 90.00
_cell_angle_beta 90.00
_cell_angle_gamma 90.00
loop_
_space_group_symop_operation_xyz
'x,y,z'
loop_
_atom_site_label
_atom_site_fract_x
_atom_site_fract_y
_atom_site_fract_z
_atom_site_occupancy
Cl1 0.000 0.500 0.000 1
B1 0.500 0.500 0.500 1
Ni1 0.000 0.000 0.000 1
Cl2 0.500 0.000 0.000 1
Cl3 0.000 0.000 0.500 1
```

=====

#x
This record from the Alexandria database describes NiBCl3 after structural relaxation. The functional is PBE.

Values from the calculation:
size of the total moment	1.037	μB/cell

Cell and atoms, written as CIF:
```
data_NiBCl3
_space_group_name_H-M_alt 'P 1'
_space_group_IT_number 1
_cell_length_a 4.374
_cell_length_b 4.374
_cell_length_c 4.374
_cell_angle_alpha 90.00
_cell_angle_beta 90.00
_cell_angle_gamma 90.00
loop_
_space_group_symop_operation_xyz
'x,y,z'
loop_
_atom_site_label
_atom_site_fract_x
_atom_site_fract_y
_atom_site_fract_z
_atom_site_occupancy
Cl1 0.500 0.000 0.000 1
Cl2 0.000 0.000 0.500 1
B1 0.000 0.000 0.000 1
Cl3 0.000 0.500 0.000 1
Ni1 0.500 0.500 0.500 1
```

=====

Tell me which of them is the least stable. Sure, it is #x.

=====

#w
This record from the Alexandria database describes Ni2BCl2 after structural relaxation. The functional is PBE.

Values from the calculation:
size of the total moment	2.359	μB/cell

Cell and atoms, written as CIF:
```
data_Ni2BCl2
_space_group_name_H-M_alt 'P 1'
_space_group_IT_number 1
_cell_length_a 7.041
_cell_length_b 7.041
_cell_length_c 3.025
_cell_angle_alpha 90.00
_cell_angle_beta 90.00
_cell_angle_gamma 90.00
loop_
_space_group_symop_operation_xyz
'x,y,z'
loop_
_atom_site_label
_atom_site_fract_x
_atom_site_fract_y
_atom_site_fract_z
_atom_site_occupancy
Ni1 0.678 0.822 0.500 1
Cl1 0.349 0.849 0.000 1
B1 0.500 0.500 0.000 1
Cl2 0.651 0.151 0.000 1
Cl3 0.151 0.349 0.000 1
Ni2 0.822 0.322 0.500 1
B2 0.000 0.000 0.000 1
Ni3 0.322 0.178 0.500 1
Ni4 0.178 0.678 0.500 1
Cl4 0.849 0.651 0.000 1
```

=====

#x
This record from the Alexandria database describes Ni2BCl2 after structural relaxation. The functional is PBE.

Values from the calculation:
size of the total moment	0.979	μB/cell

Cell and atoms, written as CIF:
```
data_Ni2BCl2
_space_group_name_H-M_alt 'P 1'
_space_group_IT_number 1
_cell_length_a 3.420
_cell_length_b 3.420
_cell_length_c 7.238
_cell_angle_alpha 76.33
_cell_angle_beta 76.33
_cell_angle_gamma 90.00
loop_
_space_group_symop_operation_xyz
'x,y,z'
loop_
_atom_site_label
_atom_site_fract_x
_atom_site_fract_y
_atom_site_fract_z
_atom_site_occupancy
Ni1 0.250 0.750 0.500 1
Cl1 0.625 0.625 0.750 1
Ni2 0.750 0.250 0.500 1
B1 0.000 0.000 0.000 1
Cl2 0.375 0.375 0.250 1
```

=====

Tell me which of them is the least stable. Sure, it is #w.

=====

#w
This record from the Alexandria database describes BClO2 after structural relaxation. The functional is PBE.

Values from the calculation:
size of the total moment	0.000	μB/cell

Cell and atoms, written as CIF:
```
data_BClO2
_space_group_name_H-M_alt 'P 1'
_space_group_IT_number 1
_cell_length_a 3.834
_cell_length_b 3.834
_cell_length_c 3.834
_cell_angle_alpha 60.00
_cell_angle_beta 60.00
_cell_angle_gamma 60.00
loop_
_space_group_symop_operation_xyz
'x,y,z'
loop_
_atom_site_label
_atom_site_fract_x
_atom_site_fract_y
_atom_site_fract_z
_atom_site_occupancy
Cl1 0.500 0.500 0.500 1
O1 0.250 0.250 0.250 1
B1 0.000 0.000 0.000 1
O2 0.750 0.750 0.750 1
```

=====

#x
This record from the Alexandria database describes BClO2 after structural relaxation. The functional is PBE.

Values from the calculation:
size of the total moment	0.003	μB/cell

Cell and atoms, written as CIF:
```
data_BClO2
_space_group_name_H-M_alt 'P 1'
_space_group_IT_number 1
_cell_length_a 4.835
_cell_length_b 4.835
_cell_length_c 4.830
_cell_angle_alpha 59.96
_cell_angle_beta 59.96
_cell_angle_gamma 90.00
loop_
_space_group_symop_operation_xyz
'x,y,z'
loop_
_atom_site_label
_atom_site_fract_x
_atom_site_fract_y
_atom_site_fract_z
_atom_site_occupancy
O1 0.374 0.125 0.250 1
O2 0.375 0.626 0.750 1
O3 0.875 0.624 0.750 1
B1 0.250 0.750 0.500 1
B2 0.500 0.500 0.000 1
Cl1 0.000 0.000 0.000 1
Cl2 0.750 0.250 0.500 1
O4 0.376 0.625 0.250 1
```

=====

#y
This record from the Alexandria database describes BClO2 after structural relaxation. The functional is PBE.

Values from the calculation:
size of the total moment	0.000	μB/cell

Cell and atoms, written as CIF:
```
data_BClO2
_space_group_name_H-M_alt 'P 1'
_space_group_IT_number 1
_cell_length_a 6.776
_cell_length_b 6.776
_cell_length_c 6.776
_cell_angle_alpha 21.76
_cell_angle_beta 21.76
_cell_angle_gamma 21.76
loop_
_space_group_symop_operation_xyz
'x,y,z'
loop_
_atom_site_label
_atom_site_fract_x
_atom_site_fract_y
_atom_site_fract_z
_atom_site_occupancy
O1 0.125 0.125 0.125 1
B1 0.500 0.500 0.500 1
O2 0.875 0.875 0.875 1
Cl1 0.000 0.000 0.000 1
```

=====

Tell me which of them is the least stable. Sure, it is #w.